# 1
# BaSrSN2 | Alexandria via LeMat-Bulk | PBE | relaxed
data_BaSrSN2
_chemical_formula_sum 'Ba1 Sr1 S1 N2'
_symmetry_space_group_name_H-M 'P 4/m m m'
_symmetry_Int_Tables_number 123
_symmetry_space_group_name_Hall '-P 4 2'
_cell_length_a 4.872
_cell_length_b 4.872
_cell_length_c 5.725
_cell_angle_alpha 90.00
_cell_angle_beta 90.00
_cell_angle_gamma 90.00
loop_
_atom_site_label
_atom_site_type_symbol
_atom_site_fract_x
_atom_site_fract_y
_atom_site_fract_z
Ba1 Ba 0.000 0.000 0.000
Sr1 Sr 0.500 0.500 0.500
S1 S 0.500 0.500 0.000
N1 N 0.000 0.500 0.500
# E_form (uncorrected) in eV/atom: 0.258
# Offset from the most stable computed form in eV/atom: 0.000
# Raw total energy in eV for the cell shown: -23.092


# 2
# Nd2Zn3Ru2 | Alexandria via LeMat-Bulk | PBE | relaxed
data_Nd2Zn3Ru2
_chemical_formula_sum 'Nd4 Zn6 Ru4'
_symmetry_space_group_name_H-M 'C 1 2/m 1'
_symmetry_Int_Tables_number 12
_symmetry_space_group_name_Hall '-C 2y'
_cell_length_a 10.362
_cell_length_b 4.452
_cell_length_c 6.419
_cell_angle_alpha 90.00
_cell_angle_beta 107.78
_cell_angle_gamma 90.00
loop_
_atom_site_label
_atom_site_type_symbol
_atom_site_fract_x
_atom_site_fract_y
_atom_site_fract_z
Nd1 Nd 0.120 0.000 0.339
Zn1 Zn 0.000 0.500 0.000
Zn2 Zn 0.207 0.000 0.878
Ru1 Ru 0.087 0.500 0.677
# Energy relative to the elements in meV per atom: -234.4
# Raw total energy in eV for the cell shown: -67.100


# 3
# Ba4Na2Au | Alexandria via LeMat-Bulk | PBE | relaxed
data_Ba4Na2Au
_chemical_formula_sum 'Ba8 Na4 Au2'
_symmetry_space_group_name_H-M 'C 1 2/m 1'
_symmetry_Int_Tables_number 12
_symmetry_space_group_name_Hall '-C 2y'
_cell_length_a 19.448
_cell_length_b 4.950
_cell_length_c 7.726
_cell_angle_alpha 90.00
_cell_angle_beta 103.59
_cell_angle_gamma 90.00
loop_
_atom_site_label
_atom_site_type_symbol
_atom_site_fract_x
_atom_site_fract_y
_atom_site_fract_z
Ba1 Ba 0.066 0.000 0.276
Ba2 Ba 0.140 0.500 0.829
Na1 Na 0.231 0.500 0.351
Au1 Au 0.000 0.500 0.000
# Offset from the most stable computed form in eV/atom: 0.000
# Energy relative to the elements in meV per atom: -203.9
# Raw total energy in eV for the cell shown: -30.067


# 4
# K4NaCd5 | Alexandria via LeMat-Bulk | PBE | relaxed
data_K4NaCd5
_chemical_formula_sum 'K8 Na2 Cd10'
_symmetry_space_group_name_H-M 'P m m n'
_symmetry_Int_Tables_number 59
_cell_length_a 7.586
_cell_length_b 11.307
_cell_length_c 9.102
_cell_angle_alpha 90.00
_cell_angle_beta 90.00
_cell_angle_gamma 90.00
loop_
_symmetry_equiv_pos_as_xyz
'x,y,z'
'-x,-y,-z'
'-x+1/2,-y+1/2,z'
'x+1/2,y+1/2,-z'
'x+1/2,-y,-z'
'-x+1/2,y,z'
'-x,y+1/2,-z'
'x,-y+1/2,z'
loop_
_atom_site_label
_atom_site_type_symbol
_atom_site_fract_x
_atom_site_fract_y
_atom_site_fract_z
K1 K 0.008 0.250 0.187
K2 K 0.250 0.554 0.459
Na1 Na 0.250 0.250 0.645
Cd1 Cd 0.053 0.067 0.863
Cd2 Cd 0.250 0.750 0.145
# Energy relative to the elements in meV per atom: 5.6
# Raw total energy in eV for the cell shown: -20.458


# 5
# SmTc4Ge2 | Alexandria via LeMat-Bulk | PBE | relaxed
data_SmTc4Ge2
_chemical_formula_sum 'Sm2 Tc8 Ge4'
_symmetry_space_group_name_H-M 'C m m m'
_symmetry_Int_Tables_number 65
_symmetry_space_group_name_Hall '-C 2 2'
_cell_length_a 4.148
_cell_length_b 14.403
_cell_length_c 4.115
_cell_angle_alpha 90.00
_cell_angle_beta 90.00
_cell_angle_gamma 90.00
loop_
_atom_site_label
_atom_site_type_symbol
_atom_site_fract_x
_atom_site_fract_y
_atom_site_fract_z
Sm1 Sm 0.000 0.000 0.000
Tc1 Tc 0.000 0.193 0.500
Tc2 Tc 0.000 0.302 0.000
Ge1 Ge 0.000 0.412 0.500
# Energy relative to the elements in meV per atom: -401.8
# Raw total energy in eV for the cell shown: -116.461


# 6
# RbCuTeS3 | Alexandria via LeMat-Bulk | PBE | relaxed
data_RbCuTeS3
_chemical_formula_sum 'Rb4 Cu4 Te4 S12'
_symmetry_space_group_name_H-M 'C m c m'
_symmetry_Int_Tables_number 63
_symmetry_space_group_name_Hall '-C 2c 2'
_cell_length_a 3.904
_cell_length_b 14.720
_cell_length_c 10.397
_cell_angle_alpha 90.00
_cell_angle_beta 90.00
_cell_angle_gamma 90.00
loop_
_atom_site_label
_atom_site_type_symbol
_atom_site_fract_x
_atom_site_fract_y
_atom_site_fract_z
Rb1 Rb 0.000 0.239 0.250
Cu1 Cu 0.000 0.039 0.750
Te1 Te 0.000 0.500 0.000
S1 S 0.000 0.120 0.554
S2 S 0.000 0.447 0.750
# E_form (uncorrected) in eV/atom: -0.375
# Offset from the most stable computed form in eV/atom: 0.052
# Raw total energy in eV for the cell shown: -91.346


# 7
# Ce2DyHg6 | Alexandria via LeMat-Bulk | PBE | relaxed
data_Ce2DyHg6
_chemical_formula_sum 'Ce4 Dy2 Hg12'
_symmetry_space_group_name_H-M 'C 1 2/m 1'
_symmetry_Int_Tables_number 12
_symmetry_space_group_name_Hall '-C 2y'
_cell_length_a 15.160
_cell_length_b 8.743
_cell_length_c 3.399
_cell_angle_alpha 90.00
_cell_angle_beta 90.06
_cell_angle_gamma 90.00
loop_
_atom_site_label
_atom_site_type_symbol
_atom_site_fract_x
_atom_site_fract_y
_atom_site_fract_z
Ce1 Ce 0.167 0.000 0.000
Dy1 Dy 0.000 0.500 0.000
Hg1 Hg 0.000 0.169 0.500
Hg2 Hg 0.166 0.334 0.500
# Energy relative to the elements in meV per atom: -364.5
# Raw total energy in eV for the cell shown: -43.122


# 8
# TlPtW2 | Alexandria via LeMat-Bulk | PBE | relaxed
data_TlPtW2
_chemical_formula_sum 'Tl4 Pt4 W8'
_symmetry_space_group_name_H-M 'I -4 2 d'
_symmetry_Int_Tables_number 122
_symmetry_space_group_name_Hall 'I -4 2bw'
_cell_length_a 3.873
_cell_length_b 3.873
_cell_length_c 20.090
_cell_angle_alpha 90.00
_cell_angle_beta 90.00
_cell_angle_gamma 90.00
loop_
_atom_site_label
_atom_site_type_symbol
_atom_site_fract_x
_atom_site_fract_y
_atom_site_fract_z
Tl1 Tl 0.000 0.000 0.000
Pt1 Pt 0.000 0.000 0.500
W1 W 0.242 0.250 0.625
# Offset from the most stable computed form in eV/atom: 0.497
# Energy relative to the elements in meV per atom: 879.8
# Raw total energy in eV for the cell shown: -123.177


# 9
# NaRhW2 | Alexandria via LeMat-Bulk | PBE | relaxed
data_NaRhW2
_chemical_formula_sum 'Na4 Rh4 W8'
_symmetry_space_group_name_H-M 'I -4 2 d'
_symmetry_Int_Tables_number 122
_symmetry_space_group_name_Hall 'I -4 2bw'
_cell_length_a 7.505
_cell_length_b 7.505
_cell_length_c 5.205
_cell_angle_alpha 90.00
_cell_angle_beta 90.00
_cell_angle_gamma 90.00
loop_
_atom_site_label
_atom_site_type_symbol
_atom_site_fract_x
_atom_site_fract_y
_atom_site_fract_z
Na1 Na 0.000 0.000 0.000
Rh1 Rh 0.000 0.000 0.500
W1 W 0.203 0.250 0.625
# Offset from the most stable computed form in eV/atom: 0.064
# Energy relative to the elements in meV per atom: 1172.3
# Raw total energy in eV for the cell shown: -119.551


# 10
# PuScCo | Alexandria via LeMat-Bulk | PBE | relaxed
data_PuScCo
_chemical_formula_sum 'Pu2 Sc2 Co2'
_symmetry_space_group_name_H-M 'I 4 m m'
_symmetry_Int_Tables_number 107
_symmetry_space_group_name_Hall 'I 4 -2'
_cell_length_a 3.183
_cell_length_b 3.183
_cell_length_c 11.851
_cell_angle_alpha 90.00
_cell_angle_beta 90.00
_cell_angle_gamma 90.00
loop_
_atom_site_label
_atom_site_type_symbol
_atom_site_fract_x
_atom_site_fract_y
_atom_site_fract_z
Pu1 Pu 0.000 0.000 0.000
Sc1 Sc 0.000 0.000 0.271
Co1 Co 0.000 0.000 0.648
# Offset from the most stable computed form in eV/atom: 0.000
# Energy relative to the elements in meV per atom: -35.4
# Raw total energy in eV for the cell shown: -55.751


# 11
# LiPmMnIn | Alexandria via LeMat-Bulk | PBE | relaxed
data_LiPmMnIn
_chemical_formula_sum 'Li4 Pm4 Mn4 In4'
_symmetry_space_group_name_H-M 'F -4 3 m'
_symmetry_Int_Tables_number 216
_symmetry_space_group_name_Hall 'F -4 2 3'
_cell_length_a 6.946
_cell_length_b 6.946
_cell_length_c 6.946
_cell_angle_alpha 90.00
_cell_angle_beta 90.00
_cell_angle_gamma 90.00
loop_
_atom_site_label
_atom_site_type_symbol
_atom_site_fract_x
_atom_site_fract_y
_atom_site_fract_z
Li1 Li 0.000 0.000 0.000
Pm1 Pm 0.250 0.250 0.250
Mn1 Mn 0.000 0.000 0.500
In1 In 0.250 0.250 0.750
# Energy relative to the elements in meV per atom: -72.2
# Raw total energy in eV for the cell shown: -75.446


# 12
# ReSi2Ni | Alexandria via LeMat-Bulk | PBE | relaxed
data_ReSi2Ni
_chemical_formula_sum 'Re1 Si2 Ni1'
_symmetry_space_group_name_H-M 'P m m m'
_symmetry_Int_Tables_number 47
_symmetry_space_group_name_Hall '-P 2 2'
_cell_length_a 2.834
_cell_length_b 3.733
_cell_length_c 4.938
_cell_angle_alpha 90.00
_cell_angle_beta 90.00
_cell_angle_gamma 90.00
loop_
_atom_site_label
_atom_site_type_symbol
_atom_site_fract_x
_atom_site_fract_y
_atom_site_fract_z
Re1 Re 0.000 0.000 0.000
Si1 Si 0.500 0.500 0.243
Ni1 Ni 0.500 0.000 0.500
# E_form (uncorrected) in eV/atom: -0.139
# Raw total energy in eV for the cell shown: -29.632


# 13
# Er3Al2Hg3 | Alexandria via LeMat-Bulk | PBE | relaxed
data_Er3Al2Hg3
_chemical_formula_sum 'Er12 Al8 Hg12'
_symmetry_space_group_name_H-M 'C m c m'
_symmetry_Int_Tables_number 63
_symmetry_space_group_name_Hall '-C 2c 2'
_cell_length_a 4.517
_cell_length_b 11.030
_cell_length_c 14.999
_cell_angle_alpha 90.00
_cell_angle_beta 90.00
_cell_angle_gamma 90.00
loop_
_atom_site_label
_atom_site_type_symbol
_atom_site_fract_x
_atom_site_fract_y
_atom_site_fract_z
Er1 Er 0.000 0.081 0.112
Er2 Er 0.000 0.362 0.250
Al1 Al 0.000 0.208 0.609
Hg1 Hg 0.000 0.362 0.750
Hg2 Hg 0.000 0.377 0.037
# Energy relative to the elements in meV per atom: -410.8
# Raw total energy in eV for the cell shown: -101.460


# 14
# TlCd3 | Alexandria via LeMat-Bulk | PBE | relaxed
data_TlCd3
_chemical_formula_sum 'Tl2 Cd6'
_symmetry_space_group_name_H-M 'C 1 2/m 1'
_symmetry_Int_Tables_number 12
_symmetry_space_group_name_Hall '-C 2y'
_cell_length_a 10.554
_cell_length_b 3.214
_cell_length_c 6.121
_cell_angle_alpha 90.00
_cell_angle_beta 103.97
_cell_angle_gamma 90.00
loop_
_atom_site_label
_atom_site_type_symbol
_atom_site_fract_x
_atom_site_fract_y
_atom_site_fract_z
Tl1 Tl 0.000 0.000 0.000
Cd1 Cd 0.000 0.500 0.500
Cd2 Cd 0.243 0.000 0.731
# Energy relative to the elements in meV per atom: 46.8
# Raw total energy in eV for the cell shown: -9.849


# 15
# NaSn3H | Alexandria via LeMat-Bulk | PBE | relaxed
data_NaSn3H
_chemical_formula_sum 'Na1 Sn3 H1'
_symmetry_space_group_name_H-M 'P m -3 m'
_symmetry_Int_Tables_number 221
_symmetry_space_group_name_Hall '-P 4 2 3'
_cell_length_a 5.457
_cell_length_b 5.457
_cell_length_c 5.457
_cell_angle_alpha 90.00
_cell_angle_beta 90.00
_cell_angle_gamma 90.00
loop_
_atom_site_label
_atom_site_type_symbol
_atom_site_fract_x
_atom_site_fract_y
_atom_site_fract_z
Na1 Na 0.000 0.000 0.000
Sn1 Sn 0.000 0.000 0.500
H1 H 0.500 0.500 0.500
# Offset from the most stable computed form in eV/atom: 0.983
# Raw total energy in eV for the cell shown: -11.199


# 16
# Th3Ga3Si2 | Alexandria via LeMat-Bulk | PBE | relaxed
data_Th3Ga3Si2
_chemical_formula_sum 'Th12 Ga12 Si8'
_symmetry_space_group_name_H-M 'C m c m'
_symmetry_Int_Tables_number 63
_symmetry_space_group_name_Hall '-C 2c 2'
_cell_length_a 4.141
_cell_length_b 11.193
_cell_length_c 15.754
_cell_angle_alpha 90.00
_cell_angle_beta 90.00
_cell_angle_gamma 90.00
loop_
_atom_site_label
_atom_site_type_symbol
_atom_site_fract_x
_atom_site_fract_y
_atom_site_fract_z
Th1 Th 0.000 0.066 0.250
Th2 Th 0.000 0.356 0.093
Ga1 Ga 0.000 0.077 0.054
Ga2 Ga 0.000 0.207 0.750
Si1 Si 0.000 0.352 0.622
# E_form (uncorrected) in eV/atom: -0.583
# Raw total energy in eV for the cell shown: -187.406


# 17
# FeOsPt2 | Alexandria via LeMat-Bulk | PBE | relaxed
data_FeOsPt2
_chemical_formula_sum 'Fe2 Os2 Pt4'
_symmetry_space_group_name_H-M 'C m m m'
_symmetry_Int_Tables_number 65
_symmetry_space_group_name_Hall '-C 2 2'
_cell_length_a 5.435
_cell_length_b 7.915
_cell_length_c 2.713
_cell_angle_alpha 90.00
_cell_angle_beta 90.00
_cell_angle_gamma 90.00
loop_
_atom_site_label
_atom_site_type_symbol
_atom_site_fract_x
_atom_site_fract_y
_atom_site_fract_z
Fe1 Fe 0.000 0.000 0.000
Os1 Os 0.000 0.500 0.000
Pt1 Pt 0.250 0.250 0.500
# Offset from the most stable computed form in eV/atom: 0.029
# Energy relative to the elements in meV per atom: 1.8
# Raw total energy in eV for the cell shown: -63.534


# 18
# MgZrAu2 | Alexandria via LeMat-Bulk | PBE | relaxed
data_MgZrAu2
_chemical_formula_sum 'Mg2 Zr2 Au4'
_symmetry_space_group_name_H-M 'I m m 2'
_symmetry_Int_Tables_number 44
_symmetry_space_group_name_Hall 'I 2 -2'
_cell_length_a 3.431
_cell_length_b 4.711
_cell_length_c 9.757
_cell_angle_alpha 90.00
_cell_angle_beta 90.00
_cell_angle_gamma 90.00
loop_
_atom_site_label
_atom_site_type_symbol
_atom_site_fract_x
_atom_site_fract_y
_atom_site_fract_z
Mg1 Mg 0.000 0.000 0.000
Zr1 Zr 0.000 0.500 0.224
Au1 Au 0.000 0.000 0.486
Au2 Au 0.000 0.500 0.750
# Energy relative to the elements in meV per atom: -367.4
# Raw total energy in eV for the cell shown: -36.334


# 19
# NdCd2Ag | Alexandria via LeMat-Bulk | PBE | relaxed
data_NdCd2Ag
_chemical_formula_sum 'Nd1 Cd2 Ag1'
_symmetry_space_group_name_H-M 'P 4/m m m'
_symmetry_Int_Tables_number 123
_symmetry_space_group_name_Hall '-P 4 2'
_cell_length_a 3.504
_cell_length_b 3.504
_cell_length_c 7.724
_cell_angle_alpha 90.00
_cell_angle_beta 90.00
_cell_angle_gamma 90.00
loop_
_atom_site_label
_atom_site_type_symbol
_atom_site_fract_x
_atom_site_fract_y
_atom_site_fract_z
Nd1 Nd 0.000 0.000 0.000
Cd1 Cd 0.500 0.500 0.290
Ag1 Ag 0.000 0.000 0.500
# Energy relative to the elements in meV per atom: -187.4
# Raw total energy in eV for the cell shown: -10.199


# 20
# ZrAs2Pt | Alexandria via LeMat-Bulk | PBE | relaxed
data_ZrAs2Pt
_chemical_formula_sum 'Zr1 As2 Pt1'
_symmetry_space_group_name_H-M 'P 4 m m'
_symmetry_Int_Tables_number 99
_symmetry_space_group_name_Hall 'P 4 -2'
_cell_length_a 3.120
_cell_length_b 3.120
_cell_length_c 8.384
_cell_angle_alpha 90.00
_cell_angle_beta 90.00
_cell_angle_gamma 90.00
loop_
_atom_site_label
_atom_site_type_symbol
_atom_site_fract_x
_atom_site_fract_y
_atom_site_fract_z
Zr1 Zr 0.000 0.000 0.000
As1 As 0.000 0.000 0.593
As2 As 0.500 0.500 0.228
Pt1 Pt 0.500 0.500 0.762
# Energy relative to the elements in meV per atom: -413.7
# Raw total energy in eV for the cell shown: -25.543